Record 1
Computed, not measured: NaIn6Bi3 after structural relaxation at the PBE level of DFT.

Geometry as CIF:
```
data_NaIn6Bi3
_chemical_formula_sum 'Na2 In12 Bi6'
_symmetry_space_group_name_H-M 'P 1 21/m 1'
_symmetry_Int_Tables_number 11
_symmetry_space_group_name_Hall '-P 2yb'
_cell_length_a 10.8026
_cell_length_b 4.7428
_cell_length_c 12.9990
_cell_angle_alpha 90.00
_cell_angle_beta 107.65
_cell_angle_gamma 90.00
loop_
_atom_site_label
_atom_site_fract_x
_atom_site_fract_y
_atom_site_fract_z
Na1 0.0094 0.2500 0.2742
In1 0.0970 0.2500 0.9931
In2 0.1926 0.7500 0.1768
In3 0.2127 0.7500 0.4277
In4 0.3078 0.7500 0.6943
In5 0.4303 0.2500 0.5612
In6 0.4310 0.2500 0.0662
Bi1 0.1148 0.2500 0.5676
Bi2 0.2704 0.7500 0.9284
Bi3 0.3847 0.2500 0.2906
```

## Properties
As for the density of states at the Fermi level: 8.3 states/eV/cell. The calculated formation energy comes out at -0.01 eV per atom. Its magnetic moment is 0.000 μB/cell. As for the total energy: -2.947 eV per atom.


Record 2
Computed, not measured: CaMg2Cl after structural relaxation at the PBE level of DFT.

Geometry as CIF:
```
data_CaMg2Cl
_chemical_formula_sum 'Ca1 Mg2 Cl1'
_symmetry_space_group_name_H-M 'P 4/m m m'
_symmetry_Int_Tables_number 123
_symmetry_space_group_name_Hall '-P 4 2'
_cell_length_a 4.1021
_cell_length_b 4.1021
_cell_length_c 6.8005
_cell_angle_alpha 90.00
_cell_angle_beta 90.00
_cell_angle_gamma 90.00
loop_
_atom_site_label
_atom_site_fract_x
_atom_site_fract_y
_atom_site_fract_z
Ca1 0.0000 0.0000 0.0000
Mg1 0.0000 0.5000 0.5000
Cl1 0.5000 0.5000 0.0000
```

## Properties
As for the density of states at the Fermi level: 2.6 states/eV/cell. Its magnetic moment is 0.000 μB/cell. As for the total energy: -2.290 eV per atom. The energy relative to the lowest polymorph listed for this composition is 0.152 eV per atom.


Record 3
Computed, not measured: Ca2TlW after structural relaxation at the PBE level of DFT.

Geometry as CIF:
```
data_Ca2TlW
_chemical_formula_sum 'Ca4 Tl2 W2'
_symmetry_space_group_name_H-M 'C m m m'
_symmetry_Int_Tables_number 65
_symmetry_space_group_name_Hall '-C 2 2'
_cell_length_a 4.2630
_cell_length_b 4.4627
_cell_length_c 10.1812
_cell_angle_alpha 90.00
_cell_angle_beta 90.00
_cell_angle_gamma 90.00
loop_
_atom_site_label
_atom_site_fract_x
_atom_site_fract_y
_atom_site_fract_z
Ca1 0.0000 0.0000 0.2341
Tl1 0.0000 0.5000 0.5000
W1 0.0000 0.5000 0.0000
```

## Properties
As for the density of states at the Fermi level: 7.3 states/eV/cell. The calculated formation energy comes out at 0.49 eV per atom. Its magnetic moment is 0.000 μB/cell. As for the total energy: -4.340 eV per atom. The energy relative to the lowest polymorph listed for this composition is 0.000 eV per atom.


Record 4
Computed, not measured: Ni2AgIr after structural relaxation at the PBE level of DFT.

Geometry as CIF:
```
data_Ni2AgIr
_chemical_formula_sum 'Ni4 Ag2 Ir2'
_symmetry_space_group_name_H-M 'I m m 2'
_symmetry_Int_Tables_number 44
_symmetry_space_group_name_Hall 'I 2 -2'
_cell_length_a 2.7020
_cell_length_b 4.4407
_cell_length_c 9.0620
_cell_angle_alpha 90.00
_cell_angle_beta 90.00
_cell_angle_gamma 90.00
loop_
_atom_site_label
_atom_site_fract_x
_atom_site_fract_y
_atom_site_fract_z
Ni1 0.0000 0.0000 0.0000
Ni2 0.0000 0.5000 0.2735
Ag1 0.0000 0.5000 0.7623
Ir1 0.0000 0.0000 0.5395
```

## Properties
As for the density of states at the Fermi level: 12.0 states/eV/cell. The calculated formation energy comes out at 0.27 eV per atom. Its magnetic moment is 2.325 μB/cell. As for the total energy: -5.551 eV per atom. The energy relative to the lowest polymorph listed for this composition is 0.133 eV per atom.


Record 5
Computed, not measured: PmHo5Cd6 after structural relaxation at the PBE level of DFT.

Geometry as CIF:
```
data_PmHo5Cd6
_chemical_formula_sum 'Pm2 Ho10 Cd12'
_symmetry_space_group_name_H-M 'C m m m'
_symmetry_Int_Tables_number 65
_symmetry_space_group_name_Hall '-C 2 2'
_cell_length_a 5.2786
_cell_length_b 15.8818
_cell_length_c 7.5273
_cell_angle_alpha 90.00
_cell_angle_beta 90.00
_cell_angle_gamma 90.00
loop_
_atom_site_label
_atom_site_fract_x
_atom_site_fract_y
_atom_site_fract_z
Pm1 0.0000 0.0000 0.0000
Ho1 0.0000 0.0000 0.5000
Ho2 0.0000 0.3320 0.0000
Ho3 0.0000 0.3352 0.5000
Cd1 0.0000 0.1690 0.2546
Cd2 0.0000 0.5000 0.2541
```

## Properties
As for the density of states at the Fermi level: 27.9 states/eV/cell. The calculated formation energy comes out at -0.31 eV per atom. Its magnetic moment is 0.142 μB/cell. As for the total energy: -3.076 eV per atom.


Record 6
Computed, not measured: TiTlSiRu2 after structural relaxation at the PBE level of DFT.

Geometry as CIF:
```
data_TiTlSiRu2
_chemical_formula_sum 'Ti1 Tl1 Si1 Ru2'
_symmetry_space_group_name_H-M 'P 4/m m m'
_symmetry_Int_Tables_number 123
_symmetry_space_group_name_Hall '-P 4 2'
_cell_length_a 4.5941
_cell_length_b 4.5941
_cell_length_c 4.7055
_cell_angle_alpha 90.00
_cell_angle_beta 90.00
_cell_angle_gamma 90.00
loop_
_atom_site_label
_atom_site_fract_x
_atom_site_fract_y
_atom_site_fract_z
Ti1 0.0000 0.0000 0.0000
Tl1 0.5000 0.5000 0.5000
Si1 0.0000 0.0000 0.5000
Ru1 0.0000 0.5000 0.0000
```

## Properties
As for the density of states at the Fermi level: 4.9 states/eV/cell. Its magnetic moment is 0.000 μB/cell. As for the total energy: -5.899 eV per atom.


Record 7
Computed, not measured: K2AgHg after structural relaxation at the PBE level of DFT.

Geometry as CIF:
```
data_K2AgHg
_chemical_formula_sum 'K6 Ag3 Hg3'
_symmetry_space_group_name_H-M 'R -3 m'
_symmetry_Int_Tables_number 166
_symmetry_space_group_name_Hall '-R 3 2"'
_cell_length_a 4.6547
_cell_length_b 4.6547
_cell_length_c 27.1980
_cell_angle_alpha 90.00
_cell_angle_beta 90.00
_cell_angle_gamma 120.00
loop_
_atom_site_label
_atom_site_fract_x
_atom_site_fract_y
_atom_site_fract_z
K1 0.0000 0.0000 0.2441
Ag1 0.0000 0.0000 0.5000
Hg1 0.0000 0.0000 0.0000
```

## Properties
As for the density of states at the Fermi level: 7.9 states/eV/cell. The calculated formation energy comes out at 0.02 eV per atom. Its magnetic moment is 0.000 μB/cell. As for the total energy: -1.321 eV per atom.


Record 8
Computed, not measured: LiNdSmZn after structural relaxation at the PBE level of DFT.

Geometry as CIF:
```
data_LiNdSmZn
_chemical_formula_sum 'Li4 Nd4 Sm4 Zn4'
_symmetry_space_group_name_H-M 'F -4 3 m'
_symmetry_Int_Tables_number 216
_symmetry_space_group_name_Hall 'F -4 2 3'
_cell_length_a 7.4113
_cell_length_b 7.4113
_cell_length_c 7.4113
_cell_angle_alpha 90.00
_cell_angle_beta 90.00
_cell_angle_gamma 90.00
loop_
_atom_site_label
_atom_site_fract_x
_atom_site_fract_y
_atom_site_fract_z
Li1 0.0000 0.0000 0.0000
Nd1 0.2500 0.2500 0.2500
Sm1 0.2500 0.2500 0.7500
Zn1 0.0000 0.0000 0.5000
```

## Properties
As for the density of states at the Fermi level: 25.2 states/eV/cell. The calculated formation energy comes out at -0.11 eV per atom. Its magnetic moment is 0.007 μB/cell. As for the total energy: -3.276 eV per atom. The energy relative to the lowest polymorph listed for this composition is 0.012 eV per atom.


Record 9
Computed, not measured: BaH3Rh after structural relaxation at the PBE level of DFT.

Geometry as CIF:
```
data_BaH3Rh
_chemical_formula_sum 'Ba3 H9 Rh3'
_symmetry_space_group_name_H-M 'R 3 m'
_symmetry_Int_Tables_number 160
_symmetry_space_group_name_Hall 'R 3 -2"'
_cell_length_a 6.8437
_cell_length_b 6.8437
_cell_length_c 6.2376
_cell_angle_alpha 90.00
_cell_angle_beta 90.00
_cell_angle_gamma 120.00
loop_
_atom_site_label
_atom_site_fract_x
_atom_site_fract_y
_atom_site_fract_z
Ba1 0.0000 0.0000 0.0000
H1 0.2108 0.4215 0.0609
Rh1 0.0000 0.0000 0.5035
```

## Properties
As for the density of states at the Fermi level: 4.9 states/eV/cell. Its magnetic moment is 0.000 μB/cell. As for the total energy: -3.884 eV per atom.


Record 10
Computed, not measured: Th4Tl5Zn2 after structural relaxation at the PBE level of DFT.

Geometry as CIF:
```
data_Th4Tl5Zn2
_chemical_formula_sum 'Th4 Tl5 Zn2'
_symmetry_space_group_name_H-M 'P 1 2/m 1'
_symmetry_Int_Tables_number 10
_symmetry_space_group_name_Hall '-P 2y'
_cell_length_a 8.2666
_cell_length_b 3.5213
_cell_length_c 10.3184
_cell_angle_alpha 90.00
_cell_angle_beta 94.50
_cell_angle_gamma 90.00
loop_
_atom_site_label
_atom_site_fract_x
_atom_site_fract_y
_atom_site_fract_z
Th1 0.1699 0.0000 0.3674
Th2 0.2508 0.0000 0.9426
Tl1 0.1810 0.5000 0.6579
Tl2 0.4438 0.5000 0.1922
Tl3 0.5000 0.5000 0.5000
Zn1 0.0566 0.5000 0.1262
```

## Properties
As for the density of states at the Fermi level: 7.4 states/eV/cell. The calculated formation energy comes out at -0.13 eV per atom. Its magnetic moment is 0.000 μB/cell. As for the total energy: -4.137 eV per atom.


Record 11
Computed, not measured: Ce4Ni2Hg after structural relaxation at the PBE level of DFT.

Geometry as CIF:
```
data_Ce4Ni2Hg
_chemical_formula_sum 'Ce12 Ni6 Hg3'
_symmetry_space_group_name_H-M 'R -3 m'
_symmetry_Int_Tables_number 166
_symmetry_space_group_name_Hall '-R 3 2"'
_cell_length_a 4.8181
_cell_length_b 4.8181
_cell_length_c 24.5103
_cell_angle_alpha 90.00
_cell_angle_beta 90.00
_cell_angle_gamma 120.00
loop_
_atom_site_label
_atom_site_fract_x
_atom_site_fract_y
_atom_site_fract_z
Ce1 0.0000 0.0000 0.1006
Ce2 0.0000 0.0000 0.2822
Ni1 0.0000 0.0000 0.3918
Hg1 0.0000 0.0000 0.5000
```

## Properties
As for the density of states at the Fermi level: 47.2 states/eV/cell. The calculated formation energy comes out at -0.12 eV per atom. Its magnetic moment is 4.738 μB/cell. As for the total energy: -5.201 eV per atom.


Record 12
Computed, not measured: NaSrIn4 after structural relaxation at the PBE level of DFT.

Geometry as CIF:
```
data_NaSrIn4
_chemical_formula_sum 'Na2 Sr2 In8'
_symmetry_space_group_name_H-M 'I m m m'
_symmetry_Int_Tables_number 71
_symmetry_space_group_name_Hall '-I 2 2'
_cell_length_a 4.9892
_cell_length_b 7.8067
_cell_length_c 8.9228
_cell_angle_alpha 90.00
_cell_angle_beta 90.00
_cell_angle_gamma 90.00
loop_
_atom_site_label
_atom_site_fract_x
_atom_site_fract_y
_atom_site_fract_z
Na1 0.0000 0.0000 0.0000
Sr1 0.0000 0.5000 0.0000
In1 0.0000 0.2949 0.3349
```

## Properties
As for the density of states at the Fermi level: 3.3 states/eV/cell. The calculated formation energy comes out at -0.29 eV per atom. Its magnetic moment is 0.000 μB/cell. As for the total energy: -2.618 eV per atom. The energy relative to the lowest polymorph listed for this composition is 0.000 eV per atom.


Record 13
Computed, not measured: KHfP2C after structural relaxation at the PBE level of DFT.

Geometry as CIF:
```
data_KHfP2C
_chemical_formula_sum 'K1 Hf1 P2 C1'
_symmetry_space_group_name_H-M 'P 4/m m m'
_symmetry_Int_Tables_number 123
_symmetry_space_group_name_Hall '-P 4 2'
_cell_length_a 4.3362
_cell_length_b 4.3362
_cell_length_c 4.4153
_cell_angle_alpha 90.00
_cell_angle_beta 90.00
_cell_angle_gamma 90.00
loop_
_atom_site_label
_atom_site_fract_x
_atom_site_fract_y
_atom_site_fract_z
K1 0.0000 0.0000 0.0000
Hf1 0.5000 0.5000 0.0000
P1 0.0000 0.5000 0.5000
C1 0.0000 0.0000 0.5000
```

## Properties
As for the density of states at the Fermi level: 3.5 states/eV/cell. The calculated formation energy comes out at 1.28 eV per atom. Its magnetic moment is 0.004 μB/cell. As for the total energy: -4.940 eV per atom.